This record from the Alexandria database describes crystalline ZrCl3 at its relaxed geometry. The functional is PBE.

The energy is -4.2490 eV/atom. The value obtained for the theoretical density is 4.214 Mg/m³. The value obtained for the formation energy (no corrections) is -0.7270 eV/atom.

Cell: 8.668 8.668 8.668 Å, 150.69 150.69 41.94°
Sites, in units of the cell vectors:
Zr (0.131, 0.131, 0.000)
Zr (0.869, 0.869, 0.000)
Cl (0.000, 0.500, 0.500)
Cl (0.250, 0.750, 0.500)
Cl (0.371, 0.371, 0.000)
Cl (0.500, 0.000, 0.500)
Cl (0.629, 0.629, 0.000)
Cl (0.750, 0.250, 0.500)

This record from the Alexandria database describes crystalline Mg6TlGa6 at its relaxed geometry. The functional is PBE.

The energy is -2.3783 eV/atom. The value obtained for the theoretical density is 4.699 Mg/m³. For the formation energy, the calculation gives -0.8 eV/f.u.

Cell: 5.506 5.506 10.345 Å, 90.00 90.00 120.00°
Sites, in units of the cell vectors:
Mg (0.000, 0.000, 0.143)
Mg (0.000, 0.000, 0.857)
Mg (0.333, 0.667, 0.000)
Mg (0.333, 0.667, 0.500)
Mg (0.667, 0.333, 0.000)
Mg (0.667, 0.333, 0.500)
Tl (0.000, 0.000, 0.500)
Ga (0.000, 0.500, 0.254)
Ga (0.000, 0.500, 0.746)
Ga (0.500, 0.000, 0.254)
Ga (0.500, 0.000, 0.746)
Ga (0.500, 0.500, 0.254)
Ga (0.500, 0.500, 0.746)

This record from the Alexandria database describes crystalline YTmAg at its relaxed geometry. The functional is PBE.

The energy above the most stable polymorph in this dataset is 0.659 eV per formula unit. The energy is -4.5621 eV/atom. The value obtained for the theoretical density is 6.882 Mg/m³. For the formation energy, the calculation gives 0.1 eV/f.u.

Cell: 8.652 8.637 7.076 Å, 65.95 65.73 48.32°
Sites, in units of the cell vectors:
Y (0.000, 0.000, 0.250)
Y (0.000, 0.000, 0.750)
Y (0.250, 0.250, 0.000)
Y (0.750, 0.750, 0.000)
Tm (0.250, 0.250, 0.500)
Tm (0.500, 0.500, 0.250)
Tm (0.500, 0.500, 0.750)
Tm (0.750, 0.750, 0.500)
Ag (0.128, 0.622, 0.622)
Ag (0.378, 0.872, 0.872)
Ag (0.622, 0.128, 0.128)
Ag (0.872, 0.378, 0.378)